Entry 1:
Here is NiPbW2 after structural relaxation from the Alexandria database. Energies are from PBE-GGA.

Cell and atoms, written as POSCAR:
```
NiPbW2
1.0
-2.8519 -0.3278 0.7068
-0.0288 -2.6359 -1.3386
2.0513 -3.4202 6.6909
Ni Pb W
1 1 2
direct
0.5000 0.5000 0.2500 Ni
0.5000 0.5000 0.7500 Pb
0.0000 0.0000 0.0490 W
0.0000 0.0000 0.4510 W
```

DOS(E_F) ... 1.0649 states/eV per atom
V ... 68 Å³ per cell
DFT formation energy ... 18.37 kcal/mol of atoms

***

Entry 2:
Here is NiPbW2 after structural relaxation from the Alexandria database. Energies are from PBE-GGA.

Cell and atoms, written as POSCAR:
```
NiPbW2
1.0
-1.4449 2.4581 -0.1871
-2.3423 -1.4365 -0.7840
-2.3059 -0.7294 8.2257
Ni Pb W
1 1 2
direct
0.0000 0.0000 0.4644 Ni
0.5000 0.5000 0.7341 Pb
0.0000 0.0000 0.0267 W
0.5000 0.5000 0.2748 W
```

DOS(E_F) ... 0.9814 states/eV per atom
V ... 70 Å³ per cell
DFT formation energy ... 14.78 kcal/mol of atoms

***

Entry 3:
Here is NiPbW2 after structural relaxation from the Alexandria database. Energies are from PBE-GGA.

Cell and atoms, written as POSCAR:
```
NiPbW2
1.0
-2.5159 -3.6802 -0.9909
0.1041 -1.7716 -4.2079
2.0306 -4.0242 -0.7336
Ni Pb W
1 1 2
direct
0.5000 0.5000 0.5000 Ni
0.7500 0.7500 0.7500 Pb
0.0000 0.0000 0.0000 W
0.2500 0.2500 0.2500 W
```

DOS(E_F) ... 1.1099 states/eV per atom
V ... 67 Å³ per cell
DFT formation energy ... 18.44 kcal/mol of atoms

***

Entry 4:
Here is NiPbW2 after structural relaxation from the Alexandria database. Energies are from PBE-GGA.

Cell and atoms, written as POSCAR:
```
NiPbW2
1.0
3.1966 0.0000 0.0000
0.0000 3.1871 0.0804
0.0000 2.2060 7.1107
Ni Pb W
1 1 2
direct
0.0000 0.5944 0.4611 Ni
0.5000 0.8298 0.7180 Pb
0.0000 0.8293 0.0585 W
0.5000 0.2465 0.2624 W
```

DOS(E_F) ... 0.5657 states/eV per atom
V ... 72 Å³ per cell
DFT formation energy ... 11.35 kcal/mol of atoms

***

Entry 5:
Here is Ni2PbW2 after structural relaxation from the Alexandria database. Energies are from PBE-GGA.

Cell and atoms, written as POSCAR:
```
Ni2PbW2
1.0
0.9905 -3.5755 5.5649
-1.4011 1.0184 6.4601
-2.1332 0.1244 -6.3377
Ni Pb W
2 1 2
direct
0.6012 0.6012 0.0000 Ni
0.3988 0.3988 0.0000 Ni
0.0000 0.0000 0.0000 Pb
0.2500 0.7500 0.5000 W
0.7500 0.2500 0.5000 W
```

ΔE to the lowest computed polymorph ... 0.00 eV/f.u.
DOS(E_F) ... 0.9817 states/eV per atom
V ... 85 Å³ per cell
DFT formation energy ... 12.00 kcal/mol of atoms

***

Entry 6:
Here is NiPb4W after structural relaxation from the Alexandria database. Energies are from PBE-GGA.

Cell and atoms, written as POSCAR:
```
NiPb4W
1.0
0.0000 4.4006 4.4006
4.4006 0.0000 4.4006
4.4006 4.4006 0.0000
Ni Pb W
1 4 1
direct
0.0000 0.0000 0.0000 Ni
0.8739 0.3754 0.3754 Pb
0.3754 0.3754 0.8739 Pb
0.3754 0.8739 0.3754 Pb
0.3754 0.3754 0.3754 Pb
0.7500 0.7500 0.7500 W
```

DOS(E_F) ... 1.0189 states/eV per atom
V ... 170 Å³ per cell
DFT formation energy ... 33.00 kcal/mol of atoms

***

Entry 7:
Here is Ni2PbW2 after structural relaxation from the Alexandria database. Energies are from PBE-GGA.

Cell and atoms, written as POSCAR:
```
Ni2PbW2
1.0
7.6246 0.0000 0.0000
0.0000 7.6246 0.0000
0.0000 0.0000 2.8271
Pb Ni W
2 4 4
direct
0.0000 0.0000 0.0000 Pb
0.5000 0.5000 0.0000 Pb
0.1673 0.6673 0.5000 Ni
0.6673 0.8327 0.5000 Ni
0.8327 0.3327 0.5000 Ni
0.3327 0.1673 0.5000 Ni
0.3820 0.8820 0.0000 W
0.8820 0.6180 0.0000 W
0.6180 0.1180 0.0000 W
0.1180 0.3820 0.0000 W
```

ΔE to the lowest computed polymorph ... 0.21 eV/f.u.
DOS(E_F) ... 0.6452 states/eV per atom
V ... 164 Å³ per cell
DFT formation energy ... 12.97 kcal/mol of atoms

***

Entry 8:
Here is NiPbW2 after structural relaxation from the Alexandria database. Energies are from PBE-GGA.

Cell and atoms, written as POSCAR:
```
NiPbW2
1.0
-2.0411 1.9482 2.9150
-1.1301 -2.4718 0.8607
3.5811 -3.1011 4.5800
Ni Pb W
1 1 2
direct
0.5000 0.2500 0.2500 Ni
0.5000 0.7500 0.7500 Pb
0.0000 0.0339 0.0515 W
0.0000 0.4661 0.4485 W
```

DOS(E_F) ... 0.7416 states/eV per atom
V ... 70 Å³ per cell
DFT formation energy ... 17.07 kcal/mol of atoms

***

Entry 9:
Here is NiPbW2 after structural relaxation from the Alexandria database. Energies are from PBE-GGA.

Cell and atoms, written as POSCAR:
```
NiPbW2
1.0
-3.2684 -3.6673 0.2214
-2.7751 -3.1543 -2.5553
3.2621 -3.9659 -0.1532
Ni Pb W
1 1 2
direct
0.4872 0.4872 0.5056 Ni
0.2406 0.2406 0.2758 Pb
0.0061 0.0061 0.9578 W
0.7661 0.7661 0.7607 W
```

DOS(E_F) ... 0.5909 states/eV per atom
V ... 68 Å³ per cell
DFT formation energy ... 17.37 kcal/mol of atoms

***

Entry 10:
Here is NiPbW3 after structural relaxation from the Alexandria database. Energies are from PBE-GGA.

Cell and atoms, written as POSCAR:
```
NiPbW3
1.0
4.5643 0.0000 0.0000
0.0000 4.5643 0.0000
0.0000 0.0000 4.5643
Pb Ni W
1 1 3
direct
0.5000 0.5000 0.5000 Pb
0.0000 0.0000 0.0000 Ni
0.0000 0.5000 0.0000 W
0.0000 0.0000 0.5000 W
0.5000 0.0000 0.0000 W
```

ΔE to the lowest computed polymorph ... 0.00 eV/f.u.
DOS(E_F) ... 1.6133 states/eV per atom
V ... 95 Å³ per cell
DFT formation energy ... 36.14 kcal/mol of atoms

***

Entry 11:
Here is NiPbW2 after structural relaxation from the Alexandria database. Energies are from PBE-GGA.

Cell and atoms, written as POSCAR:
```
NiPbW2
1.0
2.9708 -0.0114 0.0000
-0.4624 2.9346 0.0000
0.0000 0.0000 7.8118
Ni Pb W
1 1 2
direct
0.5000 0.5000 0.2500 Ni
0.5000 0.5000 0.7500 Pb
0.0000 0.0000 0.0472 W
0.0000 0.0000 0.4528 W
```

DOS(E_F) ... 0.5623 states/eV per atom
V ... 68 Å³ per cell
DFT formation energy ... 17.96 kcal/mol of atoms

***

Entry 12:
Here is NiPbW4 after structural relaxation from the Alexandria database. Energies are from PBE-GGA.

Cell and atoms, written as POSCAR:
```
NiPbW4
1.0
0.0000 3.7829 3.7829
3.7829 0.0000 3.7829
3.7829 3.7829 0.0000
Ni Pb W
1 1 4
direct
0.7500 0.7500 0.7500 Ni
0.0000 0.0000 0.0000 Pb
0.8715 0.3762 0.3762 W
0.3762 0.3762 0.8715 W
0.3762 0.8715 0.3762 W
0.3762 0.3762 0.3762 W
```

DOS(E_F) ... 1.1872 states/eV per atom
V ... 108 Å³ per cell
DFT formation energy ... 20.66 kcal/mol of atoms

***

Entry 13:
Here is Ni3PbW after structural relaxation from the Alexandria database. Energies are from PBE-GGA.

Cell and atoms, written as POSCAR:
```
Ni3PbW
1.0
-1.7720 -1.0265 -4.1346
-4.0297 -1.0490 1.9875
-1.3822 4.3743 -0.4936
Pb Ni W
1 3 1
direct
0.5000 0.5000 0.5000 Pb
0.0000 0.5000 0.0000 Ni
0.0000 0.0000 0.5000 Ni
0.5000 0.0000 0.0000 Ni
0.0000 0.0000 0.0000 W
```

ΔE to the lowest computed polymorph ... 0.00 eV/f.u.
DOS(E_F) ... 1.1335 states/eV per atom
V ... 98 Å³ per cell
DFT formation energy ... 25.93 kcal/mol of atoms

***

Entry 14:
Here is Ni2PbW2 after structural relaxation from the Alexandria database. Energies are from PBE-GGA.

Cell and atoms, written as POSCAR:
```
Ni2PbW2
1.0
-2.9366 -2.7020 -0.4573
2.1659 -1.8778 -2.8136
1.8565 -5.3660 2.1433
Pb Ni W
1 2 2
direct
0.0000 0.0000 0.0000 Pb
0.7500 0.2500 0.5000 Ni
0.2500 0.7500 0.5000 Ni
0.3814 0.3814 0.2372 W
0.6186 0.6186 0.7628 W
```

ΔE to the lowest computed polymorph ... 1.07 eV/f.u.
DOS(E_F) ... 0.5982 states/eV per atom
V ... 87 Å³ per cell
DFT formation energy ... 16.94 kcal/mol of atoms

***

Entry 15:
Here is ZrNi2PbW after structural relaxation from the Alexandria database. Energies are from PBE-GGA.

Cell and atoms, written as POSCAR:
```
ZrNi2PbW
1.0
-3.3338 2.6479 1.7132
-2.0948 -4.1087 2.2739
2.5398 0.7764 3.7426
Pb Ni Zr W
1 2 1 1
direct
0.0000 0.0000 0.0000 Pb
0.0000 0.0000 0.5000 Ni
0.5000 0.0000 0.0000 Ni
0.5000 0.5000 0.5000 Zr
0.0000 0.5000 0.0000 W
```

DOS(E_F) ... 0.4614 states/eV per atom
V ... 108 Å³ per cell
DFT formation energy ... 33.79 kcal/mol of atoms